DFT (PBE) results for crystalline ScP2SCl at its relaxed geometry.

The space group is P4/mmm (No. 123) and the conventional cell measures 4.533, 4.533 and 4.743 Å, with angles of 90.00, 90.00 and 90.00 degrees. Symmetry generates all atoms from Sc at (0.000, 0.000, 0.000), P at (0.000, 0.500, 0.500), S at (0.500, 0.500, 0.500) and Cl at (0.500, 0.500, 0.000).

The value obtained for the spin magnetization is 0.00 μB per atom. The calculation puts the formation energy (no corrections) at 0.2262 eV/atom. The energy above the lowest structure with this stoichiometry comes out at 0.0 meV/atom.

---

DFT (PBE) results for crystalline Sr3NdU2As6 at its relaxed geometry.

The space group is C2/m (No. 12) and the conventional cell measures 7.426, 12.862 and 7.551 Å, with angles of 90.00, 109.16 and 90.00 degrees. Symmetry generates all atoms from Sr at (0.000, 0.000, 0.000), Sr at (0.000, 0.336, 0.000), Nd at (0.000, 0.500, 0.500), U at (0.000, 0.167, 0.500), As at (0.225, 0.000, 0.718) and As at (0.247, 0.326, 0.718).

The value obtained for the spin magnetization is 0.25 μB per atom. As for the formation energy: -1.0866 eV/atom.

---

spin magnetization of number 1 (ScP2SCl)?
0.00 μB per atom